In2SbMoIr: relaxed, GGA-PBE.

Calculated values
* magnetic moment: 0.540 μB per atom
* VASP energy: -4.60 eV per atom

a = 5.2236 Å, b = 5.0660 Å, c = 5.2236 Å
α = 90.00°, β = 90.00°, γ = 90.00°
With the nearest neighbours (Å) after each atom.
Fractional coordinates of all 5 atoms:
Sb (0.0000, 0.5000, 0.0000)  2 Mo 2.53
Mo (0.0000, 0.0000, 0.0000)  2 Sb 2.53, 4 In 2.61
Ir (0.5000, 0.5000, 0.5000)  8 In 3.64, 4 Sb 3.69
In (0.0000, 0.0000, 0.5000)  2 Mo 2.61
In (0.5000, 0.0000, 0.0000)  2 Mo 2.61



In2MoIrSe: relaxed, GGA-PBE.

Calculated values
* magnetic moment: 0.498 μB per atom
* VASP energy: -4.60 eV per atom

a = 5.3396 Å, b = 4.6303 Å, c = 5.3396 Å
α = 90.00°, β = 90.00°, γ = 90.00°
With the nearest neighbours (Å) after each atom.
Fractional coordinates of all 5 atoms:
Mo (0.0000, 0.0000, 0.0000)  2 Se 2.32
Ir (0.5000, 0.5000, 0.5000)  8 In 3.53, 4 Se 3.78
Se (0.0000, 0.5000, 0.0000)  2 Mo 2.32
In (0.0000, 0.0000, 0.5000)  2 Mo 2.67
In (0.5000, 0.0000, 0.0000)  2 Mo 2.67